The following is a PBE-GGA calculation of a relaxed structure of ThPaTe, from Alexandria via LeMat-Bulk.

- crystal system = trigonal
- symmetry = No. 156
- magnetic moment (μB/cell) = 0.7
- formation energy without anion corrections (eV per atom) = -0.054
- Fermi-level density of states (states/eV per cell) = 7.1
- energy above the most stable polymorph in this dataset (meV/atom) = 281.5

Cell: 5.3228 5.3228 3.5555 Å, 90.00 90.00 120.00°
Last column: nearest neighbours and their distance in Å.
Fractional positions:
Th  0.0000  0.0000  0.0000  6 Te 3.55, 6 Pa 3.55, 2 Th 3.56
Pa  0.3333  0.6667  0.5002  3 Te 3.07
Te  0.6667  0.3333  0.5025  3 Pa 3.07

The following is a PBE-GGA calculation of a relaxed structure of ThPa3Te6, from Alexandria via LeMat-Bulk.

- crystal system = orthorhombic
- symmetry = No. 65
- magnetic moment (μB/cell) = 5.5
- formation energy without anion corrections (eV per atom) = -0.457
- Fermi-level density of states (states/eV per cell) = 18.0

Cell: 9.6685 9.6685 4.2181 Å, 90.00 90.00 109.60°
Last column: nearest neighbours and their distance in Å.
Fractional positions:
Th  0.0000  0.0000  0.0000  8 Te 3.29-3.54
Pa  0.0000  0.5000  0.5000  6 Te 3.06-3.13
Pa  0.5000  0.0000  0.5000  6 Te 3.06-3.13
Pa  0.5000  0.5000  0.0000  4 Te 3.05
Te  0.1594  0.8406  0.5000  2 Pa 3.13, 2 Th 3.29
Te  0.1651  0.3869  0.0000  3 Pa 3.05-3.06
Te  0.3869  0.1651  0.0000  3 Pa 3.05-3.06
Te  0.6131  0.8349  0.0000  3 Pa 3.05-3.06
Te  0.8349  0.6131  0.0000  3 Pa 3.05-3.06
Te  0.8406  0.1594  0.5000  2 Pa 3.13, 2 Th 3.29

The following is a PBE-GGA calculation of a relaxed structure of ThPaTe2, from Alexandria via LeMat-Bulk.

- crystal system = cubic
- symmetry = No. 225
- magnetic moment (μB/cell) = 0.8
- formation energy without anion corrections (eV per atom) = -0.832
- Fermi-level density of states (states/eV per cell) = 5.7
- energy above the most stable polymorph in this dataset (meV/atom) = 8.6

Cell: 5.3692 5.3692 5.3692 Å, 60.00 60.00 60.00°
Last column: nearest neighbours and their distance in Å.
Fractional positions:
Th  0.0000  0.0000  0.0000  8 Te 3.29
Pa  0.5000  0.5000  0.5000  8 Te 3.29
Te  0.2500  0.2500  0.2500  4 Pa 3.29, 4 Th 3.29
Te  0.7500  0.7500  0.7500  4 Pa 3.29, 4 Th 3.29